16
Lattice="7.309 0.000 0.000 0.000 7.309 0.000 0.000 0.000 7.309" Properties=species:S:1:pos:R:3 comment="NdZrCdAg PBE relaxed" energy_ev_per_cell=-69.22 m_tot_mub_per_cell=5.381 formation_energy_ev_per_fu=-0.22 pbc="T T T"
Nd 0.000 0.000 0.000
Nd 0.000 3.654 3.654
Nd 3.654 0.000 3.654
Nd 3.654 3.654 0.000
Zr 0.000 0.000 3.654
Zr 0.000 3.654 0.000
Zr 3.654 0.000 0.000
Zr 3.654 3.654 3.654
Cd 1.827 1.827 1.827
Cd 1.827 5.482 5.482
Cd 5.482 1.827 5.482
Cd 5.482 5.482 1.827
Ag 1.827 1.827 5.482
Ag 1.827 5.482 1.827
Ag 5.482 1.827 1.827
Ag 5.482 5.482 5.482

=====

5
Lattice="4.061 0.000 0.000 0.000 4.061 0.000 0.000 0.000 4.936" Properties=species:S:1:pos:R:3 comment="TaBe2AgRh PBE relaxed" energy_ev_per_cell=-25.02 m_tot_mub_per_cell=0.000 formation_energy_ev_per_fu=4.48 pbc="T T T"
Ta 0.000 0.000 0.000
Be 0.000 2.030 2.468
Be 2.030 0.000 2.468
Ag 2.030 2.030 0.000
Rh 2.030 2.030 2.468